A plane-wave DFT calculation with PBE-GGA was carried out for HoSbH after structural relaxation.

The spin magnetization is 0.0 μB/cell. Its raw total energy is -4.432 eV/atom. The excess energy over the best structure of this formula in the dataset comes out at 30.0 kJ per mole of atoms.

The space group is I4mm (No. 107) and the conventional cell measures 3.244, 3.244 and 11.121 Å, with angles of 90.00, 90.00 and 90.00 degrees. Symmetry generates all atoms from Ho at (0.000, 0.000, 0.000), Sb at (0.000, 0.000, 0.285) and H at (0.000, 0.000, 0.552).

A plane-wave DFT calculation with PBE-GGA was carried out for Fe2OsPt after structural relaxation.

The spin magnetization is 5.3 μB/cell. Its raw total energy is -8.470 eV/atom. The value obtained for the formation energy from the elements is 0.079 eV per atom. The excess energy over the best structure of this formula in the dataset comes out at 7.9 kJ per mole of atoms.

The space group is P2/m (No. 10) and the conventional cell measures 4.621, 2.664 and 4.720 Å, with angles of 90.00, 110.71 and 90.00 degrees. Symmetry generates all atoms from Fe at (0.000, 0.000, 0.000), Fe at (0.000, 0.500, 0.500), Os at (0.500, 0.000, 0.500) and Pt at (0.500, 0.500, 0.000).

Q: Which of these has the lowest raw total energy?
A: Fe2OsPt

Q: Which value of excess energy over the best structure of this formula in the dataset does entry 1 give?
A: 30.0 kJ per mole of atoms

Q: The highest raw total energy belongs to which entry?
A: HoSbH

Q: Look up the spin magnetization of the second one.
A: 5.3 μB/cell